First-principles (GGA-PBE) data for CaCrGaCu2 after structural relaxation, as listed in Alexandria.

Calculated values
energy of formation from the pure elements = 0.699 eV per atom
D(E_F) = 2.65 states/eV/cell
DFT total energy = -3.87 eV/atom
space-group type = No. 123

Lattice parameters (Å, degrees): 4.606 5.374 4.606 90.00 90.00 90.00
Last column: magnetic moment on the atom in μB.
Element x y z (fractional)
Cr 0.500 0.500 0.500  4.13
Ca 0.000 0.500 0.000  0.05
Cu 0.000 0.000 0.500  0.01
Cu 0.500 0.000 0.000  -0.01
Ga 0.000 0.000 0.000  -0.04